No. 1
DFT (PBE) results for TaW2C after structural relaxation.

The structure in POSCAR format:
```
TaW2C
1.0
3.143 0.000 0.000
0.000 3.143 0.000
0.000 0.000 6.350
C W Ta
1 2 1
Direct
0.000 0.000 0.657
0.500 0.500 0.206
0.000 0.000 0.992
0.500 0.500 0.644
```

Computed properties:
DOS at the Fermi energy ... 3.62 states/eV/cell
Formation energy from the elements ... 45.8 kJ per mole of atoms
Total magnetic moment ... 0.0 μB/f.u.
Space-group type ... P4mm (99)
E_tot ... -11.27 eV per atom


No. 2
DFT (PBE) results for YTa2WC4 after structural relaxation.

The structure in POSCAR format:
```
YTa2WC4
1.0
3.218 0.000 0.000
-1.609 5.720 0.000
0.000 0.000 11.400
C Ta W Y
8 4 2 2
Direct
0.738 0.477 0.613
0.454 0.908 0.750
0.546 0.092 0.250
0.262 0.523 0.113
0.738 0.477 0.887
0.000 0.000 0.000
0.000 0.000 0.500
0.262 0.523 0.387
0.629 0.258 0.033
0.371 0.742 0.533
0.629 0.258 0.467
0.371 0.742 0.967
0.846 0.693 0.750
0.154 0.307 0.250
0.113 0.226 0.750
0.887 0.774 0.250
```

Computed properties:
DOS at the Fermi energy ... 3.19 states/eV/cell
Formation energy from the elements ... -24.3 kJ per mole of atoms
Total magnetic moment ... 0.0 μB/f.u.
Space-group type ... Cmcm (63)
E_tot ... -10.25 eV per atom


No. 3
DFT (PBE) results for YTa3C4 after structural relaxation.

The structure in POSCAR format:
```
YTa3C4
1.0
3.226 -0.041 0.054
0.042 5.424 1.563
-0.091 0.295 5.636
Ta C Y
3 4 1
Direct
0.000 0.500 0.500
0.000 0.000 0.000
0.500 0.000 0.500
0.000 0.770 0.730
0.000 0.230 0.270
0.500 0.242 0.742
0.500 0.759 0.258
0.500 0.500 0.000
```

Computed properties:
DOS at the Fermi energy ... 2.70 states/eV/cell
Formation energy from the elements ... -49.1 kJ per mole of atoms
Total magnetic moment ... 0.0 μB/f.u.
Space-group type ... Cmmm (65)
E_tot ... -10.37 eV per atom


No. 4
DFT (PBE) results for Y2Ta2C3 after structural relaxation.

The structure in POSCAR format:
```
Y2Ta2C3
1.0
3.268 0.000 -0.930
-0.529 5.472 -1.860
-0.026 0.088 6.116
Y C Ta
2 3 2
Direct
0.611 0.835 0.222
0.389 0.165 0.778
0.000 0.000 0.000
0.746 0.271 0.493
0.254 0.729 0.507
0.852 0.666 0.703
0.148 0.334 0.297
```

Computed properties:
DOS at the Fermi energy ... 3.44 states/eV/cell
Formation energy from the elements ... -47.1 kJ per mole of atoms
Total magnetic moment ... 0.0 μB/f.u.
Space-group type ... C2/m (12)
E_tot ... -9.67 eV per atom


No. 5
DFT (PBE) results for TaZnC3 after structural relaxation.

The structure in POSCAR format:
```
TaZnC3
1.0
3.811 0.000 0.000
0.000 3.811 0.000
0.000 0.000 3.811
C Zn Ta
3 1 1
Direct
0.500 0.000 0.000
0.000 0.500 0.000
0.000 0.000 0.500
0.000 0.000 0.000
0.500 0.500 0.500
```

Computed properties:
DOS at the Fermi energy ... 3.23 states/eV/cell
Formation energy from the elements ... 235.4 kJ per mole of atoms
Total magnetic moment ... 0.0 μB/f.u.
Space-group type ... Pm-3m (221)
E_tot ... -5.72 eV per atom
Energy above the lowest structure with this stoichiometry ... 546.2 meV per atom


No. 6
DFT (PBE) results for Ta2ZnC after structural relaxation.

The structure in POSCAR format:
```
Ta2ZnC
1.0
-1.488 -3.526 -1.904
-1.500 -3.232 2.361
-4.189 -0.848 0.047
Ta Zn C
2 1 1
Direct
0.250 0.250 0.250
0.750 0.750 0.750
0.500 0.500 0.500
0.000 0.000 0.000
```

Computed properties:
DOS at the Fermi energy ... 3.11 states/eV/cell
Formation energy from the elements ... 85.4 kJ per mole of atoms
Total magnetic moment ... 0.0 μB/f.u.
Space-group type ... Fm-3m (225)
E_tot ... -7.67 eV per atom
Energy above the lowest structure with this stoichiometry ... 1247.9 meV per atom